# LiAcAg

A geometry-optimized LiAcAg structure (GGA-PBE, Alexandria via LeMat-Bulk).

energy relative to the lowest polymorph listed for this composition	23	meV per atom
energy of formation	-160	meV per atom
total moment	0.00	μB/atom

abc: 4.1203 4.7924 4.7924
angles: 120.00 90.00 90.00
Closest atoms and distances in Å follow each position.
Atoms (fractional coordinates):
1 Ac 0.6667 0.6667 0.3333  6 Li 3.45, 6 Ag 3.45
2 Ag 0.1669 0.3333 0.6667  3 Li 2.77
3 Li 0.1663 0.0000 0.0000  3 Ag 2.77


# Cs2ZnRe

A geometry-optimized Cs2ZnRe structure (GGA-PBE, Alexandria via LeMat-Bulk).

energy of formation	1928	meV per atom
total moment	0.78	μB/atom

abc: 10.7304 10.7304 10.7304
angles: 60.00 60.00 60.00
Closest atoms and distances in Å follow each position.
Atoms (fractional coordinates):
1 Cs 0.1250 0.6250 0.6250  2 Re 3.29
2 Cs 0.6250 0.1250 0.6250  2 Re 3.29
3 Cs 0.6250 0.6250 0.1250  2 Re 3.29
4 Cs 0.6250 0.6250 0.6250  2 Re 3.29
5 Zn 0.2500 0.2500 0.2500  none within 6
6 Zn 0.0000 0.0000 0.0000  none within 6
7 Re 0.7500 0.7500 0.7500  4 Cs 3.29
8 Re 0.5000 0.5000 0.5000  4 Cs 3.29


What did the first record say?
# LiAcAg

A geometry-optimized LiAcAg structure (GGA-PBE, Alexandria via LeMat-Bulk).

energy relative to the lowest polymorph listed for this composition	23	meV per atom
energy of formation	-160	meV per atom
total moment	0.00	μB/atom

abc: 4.1203 4.7924 4.7924
angles: 120.00 90.00 90.00
Closest atoms and distances in Å follow each position.
Atoms (fractional coordinates):
1 Ac 0.6667 0.6667 0.3333  6 Li 3.45, 6 Ag 3.45
2 Ag 0.1669 0.3333 0.6667  3 Li 2.77
3 Li 0.1663 0.0000 0.0000  3 Ag 2.77